Here is a relaxed Rb2Sn3Te8 crystal from Alexandria. Energies are from PBE.

Properties
For the calculated total energy, the calculation gives -0.1197 Ha/atom.

a b c (Å): 19.177 7.396 7.823
angles (deg): 90.00 105.01 90.00
Space group C2/m (No. 12)
Asymmetric unit:
Rb (0.244, 0.000, 0.293) (multiplicity 4)
Sn (0.000, 0.000, 0.500) (multiplicity 2)
Sn (0.000, 0.258, 0.000) (multiplicity 4)
Te (0.092, 0.290, 0.383) (multiplicity 8)
Te (0.096, 0.000, 0.888) (multiplicity 4)
Te (0.103, 0.500, 0.905) (multiplicity 4)

Here is a relaxed Rb2SnTe5 crystal from Alexandria. Energies are from PBE.

Properties
Its excess energy over the best structure of this formula in the dataset is 137 meV per atom.

a b c (Å): 6.905 6.905 16.218
angles (deg): 90.00 90.00 90.00
Space group I4mm (No. 107)
Asymmetric unit:
Rb (0.000, 0.500, 0.000) (multiplicity 4)
Sn (0.000, 0.000, 0.235) (multiplicity 2)
Te (0.000, 0.000, 0.066) (multiplicity 2)
Te (0.229, 0.229, 0.817) (multiplicity 8)

Here is a relaxed RbSnTe crystal from Alexandria. Energies are from PBE.

Properties
Its excess energy over the best structure of this formula in the dataset is 148 meV per atom.

a b c (Å): 5.3546 5.3546 5.0064
angles (deg): 90.00 90.00 120.00
Space group P-6m2 (No. 187)
Asymmetric unit:
Rb (0.0000, 0.0000, 0.0000) (multiplicity 1)
Sn (0.3333, 0.6667, 0.5000) (multiplicity 1)
Te (0.6667, 0.3333, 0.5000) (multiplicity 1)

Here is a relaxed RbSn2Te2 crystal from Alexandria. Energies are from PBE.

Properties
Its excess energy over the best structure of this formula in the dataset is 137 meV per atom.

a b c (Å): 9.237 9.237 4.075
angles (deg): 90.00 90.00 90.00
Space group P4/mbm (No. 127)
Asymmetric unit:
Rb (0.000, 0.000, 0.000) (multiplicity 2)
Sn (0.119, 0.381, 0.000) (multiplicity 4)
Te (0.209, 0.709, 0.500) (multiplicity 4)

Here is a relaxed RbSn2Te3 crystal from Alexandria. Energies are from PBE.

Properties
Its excess energy over the best structure of this formula in the dataset is 95 meV per atom.

a b c (Å): 11.541 12.074 7.294
angles (deg): 90.00 90.00 90.00
Space group Cmcm (No. 63)
Asymmetric unit:
Rb (0.000, 0.153, 0.250) (multiplicity 4)
Sn (0.148, 0.500, 0.000) (multiplicity 8)
Te (0.000, 0.330, 0.750) (multiplicity 4)
Te (0.202, 0.125, 0.750) (multiplicity 8)

Here is a relaxed Rb2SnTe2 crystal from Alexandria. Energies are from PBE.

Properties
Its excess energy over the best structure of this formula in the dataset is 204 meV per atom.

a b c (Å): 8.751 8.751 5.319
angles (deg): 90.00 90.00 90.00
Space group P4/mbm (No. 127)
Asymmetric unit:
Rb (0.139, 0.361, 0.000) (multiplicity 4)
Sn (0.000, 0.000, 0.500) (multiplicity 2)
Te (0.175, 0.675, 0.500) (multiplicity 4)

What did the second record say?
Here is a relaxed Rb2SnTe5 crystal from Alexandria. Energies are from PBE.

Properties
Its excess energy over the best structure of this formula in the dataset is 137 meV per atom.

a b c (Å): 6.905 6.905 16.218
angles (deg): 90.00 90.00 90.00
Space group I4mm (No. 107)
Asymmetric unit:
Rb (0.000, 0.500, 0.000) (multiplicity 4)
Sn (0.000, 0.000, 0.235) (multiplicity 2)
Te (0.000, 0.000, 0.066) (multiplicity 2)
Te (0.229, 0.229, 0.817) (multiplicity 8)